Arrangement w

The following is a GGA-PBE calculation of a geometry-optimized YScRu structure, from the Alexandria database.

The structure in CIF format:
```
data_YScRu
_chemical_formula_sum 'Y4 Sc4 Ru4'
_cell_length_a 6.538
_cell_length_b 6.538
_cell_length_c 6.538
_cell_angle_alpha 90.00
_cell_angle_beta 90.00
_cell_angle_gamma 90.00
_symmetry_space_group_name_H-M 'F -4 3 m'
_symmetry_Int_Tables_number 216
_symmetry_space_group_name_Hall 'F -4 2 3'
loop_
_atom_site_label
_atom_site_type_symbol
_atom_site_fract_x
_atom_site_fract_y
_atom_site_fract_z
Y1 Y 0.000 0.000 0.000
Sc1 Sc 0.250 0.250 0.750
Ru1 Ru 0.250 0.250 0.250
```


Arrangement x

The following is a GGA-PBE calculation of a geometry-optimized YScRu structure, from the Alexandria database.

The structure in CIF format:
```
data_YScRu
_chemical_formula_sum 'Y2 Sc2 Ru2'
_cell_length_a 3.325
_cell_length_b 3.325
_cell_length_c 12.223
_cell_angle_alpha 90.00
_cell_angle_beta 90.00
_cell_angle_gamma 90.00
_symmetry_space_group_name_H-M 'I 4 m m'
_symmetry_Int_Tables_number 107
_symmetry_space_group_name_Hall 'I 4 -2'
loop_
_atom_site_label
_atom_site_type_symbol
_atom_site_fract_x
_atom_site_fract_y
_atom_site_fract_z
Y1 Y 0.000 0.000 0.000
Sc1 Sc 0.000 0.000 0.260
Ru1 Ru 0.000 0.000 0.644
```


Arrangement y

The following is a GGA-PBE calculation of a geometry-optimized YScRu structure, from the Alexandria database.

The structure in CIF format:
```
data_YScRu
_chemical_formula_sum 'Y3 Sc3 Ru3'
_cell_length_a 7.3477
_cell_length_b 7.3477
_cell_length_c 4.1700
_cell_angle_alpha 90.00
_cell_angle_beta 90.00
_cell_angle_gamma 120.00
_symmetry_space_group_name_H-M 'P -6 2 m'
_symmetry_Int_Tables_number 189
_symmetry_space_group_name_Hall 'P -6 -2'
loop_
_atom_site_label
_atom_site_type_symbol
_atom_site_fract_x
_atom_site_fract_y
_atom_site_fract_z
Y1 Y 0.0000 0.4148 0.0000
Sc1 Sc 0.0000 0.7495 0.5000
Ru1 Ru 0.0000 0.0000 0.0000
Ru2 Ru 0.3333 0.6667 0.5000
```


Computed stability ranking, most favorable first: arrangement y, arrangement x, arrangement w


Arrangement w

The following is a GGA-PBE calculation of a geometry-optimized YScRu structure, from the Alexandria database.

The structure in CIF format:
```
data_YScRu
_chemical_formula_sum 'Y1 Sc1 Ru1'
_cell_length_a 4.5890
_cell_length_b 4.5890
_cell_length_c 3.4765
_cell_angle_alpha 90.00
_cell_angle_beta 90.00
_cell_angle_gamma 120.00
_symmetry_space_group_name_H-M 'P 3 m 1'
_symmetry_Int_Tables_number 156
loop_
_symmetry_equiv_pos_as_xyz
'x,y,z'
'-y,x-y,z'
'-x+y,-x,z'
'-y,-x,z'
'-x+y,y,z'
'x,x-y,z'
loop_
_atom_site_label
_atom_site_type_symbol
_atom_site_fract_x
_atom_site_fract_y
_atom_site_fract_z
Y1 Y 0.0000 0.0000 0.0000
Sc1 Sc 0.3333 0.6667 0.5441
Ru1 Ru 0.6667 0.3333 0.3409
```


Arrangement x

The following is a GGA-PBE calculation of a geometry-optimized YScRu structure, from the Alexandria database.

The structure in CIF format:
```
data_YScRu
_chemical_formula_sum 'Y4 Sc4 Ru4'
_cell_length_a 6.571
_cell_length_b 6.571
_cell_length_c 6.571
_cell_angle_alpha 90.00
_cell_angle_beta 90.00
_cell_angle_gamma 90.00
_symmetry_space_group_name_H-M 'F -4 3 m'
_symmetry_Int_Tables_number 216
_symmetry_space_group_name_Hall 'F -4 2 3'
loop_
_atom_site_label
_atom_site_type_symbol
_atom_site_fract_x
_atom_site_fract_y
_atom_site_fract_z
Y1 Y 0.000 0.000 0.000
Sc1 Sc 0.000 0.000 0.500
Ru1 Ru 0.250 0.250 0.250
```


Computed stability ranking, most favorable first: arrangement x, arrangement w


Arrangement w

The following is a GGA-PBE calculation of a geometry-optimized YSc2Ru structure, from the Alexandria database.

The structure in CIF format:
```
data_YSc2Ru
_chemical_formula_sum 'Y4 Sc8 Ru4'
_cell_length_a 6.938
_cell_length_b 6.938
_cell_length_c 6.938
_cell_angle_alpha 90.00
_cell_angle_beta 90.00
_cell_angle_gamma 90.00
_symmetry_space_group_name_H-M 'F m -3 m'
_symmetry_Int_Tables_number 225
_symmetry_space_group_name_Hall '-F 4 2 3'
loop_
_atom_site_label
_atom_site_type_symbol
_atom_site_fract_x
_atom_site_fract_y
_atom_site_fract_z
Y1 Y 0.000 0.000 0.000
Sc1 Sc 0.250 0.250 0.250
Ru1 Ru 0.000 0.000 0.500
```


Arrangement x

The following is a GGA-PBE calculation of a geometry-optimized YSc2Ru structure, from the Alexandria database.

The structure in CIF format:
```
data_YSc2Ru
_chemical_formula_sum 'Y1 Sc2 Ru1'
_cell_length_a 4.199
_cell_length_b 4.199
_cell_length_c 4.864
_cell_angle_alpha 90.00
_cell_angle_beta 90.00
_cell_angle_gamma 90.00
_symmetry_space_group_name_H-M 'P 4/m m m'
_symmetry_Int_Tables_number 123
_symmetry_space_group_name_Hall '-P 4 2'
loop_
_atom_site_label
_atom_site_type_symbol
_atom_site_fract_x
_atom_site_fract_y
_atom_site_fract_z
Y1 Y 0.000 0.000 0.000
Sc1 Sc 0.000 0.500 0.500
Ru1 Ru 0.500 0.500 0.000
```


Computed stability ranking, most favorable first: arrangement x, arrangement w


Arrangement w

The following is a GGA-PBE calculation of a geometry-optimized YSc3Ru structure, from the Alexandria database.

The structure in CIF format:
```
data_YSc3Ru
_chemical_formula_sum 'Y1 Sc3 Ru1'
_cell_length_a 4.929
_cell_length_b 4.929
_cell_length_c 4.929
_cell_angle_alpha 90.00
_cell_angle_beta 90.00
_cell_angle_gamma 90.00
_symmetry_space_group_name_H-M 'P m -3 m'
_symmetry_Int_Tables_number 221
_symmetry_space_group_name_Hall '-P 4 2 3'
loop_
_atom_site_label
_atom_site_type_symbol
_atom_site_fract_x
_atom_site_fract_y
_atom_site_fract_z
Y1 Y 0.000 0.000 0.000
Sc1 Sc 0.000 0.000 0.500
Ru1 Ru 0.500 0.500 0.500
```


Arrangement x

The following is a GGA-PBE calculation of a geometry-optimized YSc3Ru structure, from the Alexandria database.

The structure in CIF format:
```
data_YSc3Ru
_chemical_formula_sum 'Y1 Sc3 Ru1'
_cell_length_a 5.050
_cell_length_b 5.050
_cell_length_c 5.050
_cell_angle_alpha 90.00
_cell_angle_beta 90.00
_cell_angle_gamma 90.00
_symmetry_space_group_name_H-M 'P m -3 m'
_symmetry_Int_Tables_number 221
_symmetry_space_group_name_Hall '-P 4 2 3'
loop_
_atom_site_label
_atom_site_type_symbol
_atom_site_fract_x
_atom_site_fract_y
_atom_site_fract_z
Y1 Y 0.000 0.000 0.000
Sc1 Sc 0.000 0.500 0.500
Ru1 Ru 0.500 0.500 0.500
```


Computed stability ranking, most favorable first: arrangement x, arrangement w


Arrangement w

The following is a GGA-PBE calculation of a geometry-optimized YSc2Ru3 structure, from the Alexandria database.

The structure in CIF format:
```
data_YSc2Ru3
_chemical_formula_sum 'Y2 Sc4 Ru6'
_cell_length_a 4.641
_cell_length_b 13.836
_cell_length_c 3.300
_cell_angle_alpha 90.00
_cell_angle_beta 90.00
_cell_angle_gamma 90.00
_symmetry_space_group_name_H-M 'C m m m'
_symmetry_Int_Tables_number 65
_symmetry_space_group_name_Hall '-C 2 2'
loop_
_atom_site_label
_atom_site_type_symbol
_atom_site_fract_x
_atom_site_fract_y
_atom_site_fract_z
Y1 Y 0.000 0.000 0.000
Sc1 Sc 0.000 0.331 0.000
Ru1 Ru 0.000 0.174 0.500
Ru2 Ru 0.000 0.500 0.500
```


Arrangement x

The following is a GGA-PBE calculation of a geometry-optimized YSc2Ru3 structure, from the Alexandria database.

The structure in CIF format:
```
data_YSc2Ru3
_chemical_formula_sum 'Y1 Sc2 Ru3'
_cell_length_a 3.285
_cell_length_b 3.285
_cell_length_c 9.794
_cell_angle_alpha 90.00
_cell_angle_beta 90.00
_cell_angle_gamma 90.00
_symmetry_space_group_name_H-M 'P 4/m m m'
_symmetry_Int_Tables_number 123
_symmetry_space_group_name_Hall '-P 4 2'
loop_
_atom_site_label
_atom_site_type_symbol
_atom_site_fract_x
_atom_site_fract_y
_atom_site_fract_z
Y1 Y 0.000 0.000 0.000
Sc1 Sc 0.000 0.000 0.339
Ru1 Ru 0.500 0.500 0.181
Ru2 Ru 0.500 0.500 0.500
```


Computed stability ranking, most favorable first: arrangement x, arrangement w